[1]
Density functional theory data (PBE) for a geometry-optimized Al6GeRu5 structure.

Structure (CIF):
```
data_Al6GeRu5
_chemical_formula_sum 'Al12 Ge2 Ru10'
_cell_length_a 4.248
_cell_length_b 6.277
_cell_length_c 12.477
_cell_angle_alpha 90.00
_cell_angle_beta 90.00
_cell_angle_gamma 90.00
_space_group_name_H-M_alt 'I m m m'
_space_group_IT_number 71
_space_group_name_Hall '-I 2 2'
loop_
_atom_site_label
_atom_site_type_symbol
_atom_site_fract_x
_atom_site_fract_y
_atom_site_fract_z
Al1 Al 0.000 0.215 0.000
Al2 Al 0.000 0.268 0.326
Ge1 Ge 0.000 0.000 0.500
Ru1 Ru 0.000 0.000 0.172
Ru2 Ru 0.000 0.500 0.148
Ru3 Ru 0.000 0.500 0.500
```

Calculated values
As for the final energy: -161.148 eV per cell. The magnetization comes out at 0.00 μB per cell.

[2]
Density functional theory data (PBE) for a geometry-optimized NdErGaOs structure.

Structure (CIF):
```
data_NdErGaOs
_chemical_formula_sum 'Nd4 Er4 Ga4 Os4'
_cell_length_a 7.061
_cell_length_b 7.061
_cell_length_c 7.061
_cell_angle_alpha 90.00
_cell_angle_beta 90.00
_cell_angle_gamma 90.00
_space_group_name_H-M_alt 'F -4 3 m'
_space_group_IT_number 216
_space_group_name_Hall 'F -4 2 3'
loop_
_atom_site_label
_atom_site_type_symbol
_atom_site_fract_x
_atom_site_fract_y
_atom_site_fract_z
Nd1 Nd 0.000 0.000 0.000
Er1 Er 0.000 0.000 0.500
Ga1 Ga 0.250 0.250 0.250
Os1 Os 0.250 0.250 0.750
```

Calculated values
As for the final energy: -98.652 eV per cell. The magnetization comes out at 0.00 μB per cell.

[3]
Density functional theory data (PBE) for a geometry-optimized AcTb3Os structure.

Structure (CIF):
```
data_AcTb3Os
_chemical_formula_sum 'Ac1 Tb3 Os1'
_cell_length_a 5.524
_cell_length_b 5.524
_cell_length_c 5.524
_cell_angle_alpha 90.00
_cell_angle_beta 90.00
_cell_angle_gamma 90.00
_space_group_name_H-M_alt 'P m -3 m'
_space_group_IT_number 221
_space_group_name_Hall '-P 4 2 3'
loop_
_atom_site_label
_atom_site_type_symbol
_atom_site_fract_x
_atom_site_fract_y
_atom_site_fract_z
Ac1 Ac 0.000 0.000 0.000
Tb1 Tb 0.000 0.500 0.500
Os1 Os 0.500 0.500 0.500
```

Calculated values
As for the final energy: -29.350 eV per cell. The magnetization comes out at 0.00 μB per cell.

[4]
Density functional theory data (PBE) for a geometry-optimized Pm2Tm2Bi5 structure.

Structure (CIF):
```
data_Pm2Tm2Bi5
_chemical_formula_sum 'Pm8 Tm8 Bi20'
_cell_length_a 16.127
_cell_length_b 8.270
_cell_length_c 8.476
_cell_angle_alpha 90.00
_cell_angle_beta 90.00
_cell_angle_gamma 90.00
_space_group_name_H-M_alt 'C m c e'
_space_group_IT_number 64
_space_group_name_Hall '-C 2ac 2'
loop_
_atom_site_label
_atom_site_type_symbol
_atom_site_fract_x
_atom_site_fract_y
_atom_site_fract_z
Pm1 Pm 0.193 0.000 0.000
Tm1 Tm 0.000 0.153 0.343
Bi1 Bi 0.000 0.000 0.000
Bi2 Bi 0.137 0.151 0.651
```

Calculated values
As for the final energy: -174.245 eV per cell. The magnetization comes out at 0.00 μB per cell.

[5]
Density functional theory data (PBE) for a geometry-optimized As2PbW structure.

Structure (CIF):
```
data_As2PbW
_chemical_formula_sum 'As4 Pb2 W2'
_cell_length_a 8.806
_cell_length_b 3.360
_cell_length_c 6.614
_cell_angle_alpha 90.00
_cell_angle_beta 107.59
_cell_angle_gamma 90.00
_space_group_name_H-M_alt 'C 1 m 1'
_space_group_IT_number 8
loop_
_space_group_symop_operation_xyz
'x,y,z'
'x,-y,z'
'x+1/2,y+1/2,z'
'x+1/2,-y+1/2,z'
loop_
_atom_site_label
_atom_site_type_symbol
_atom_site_fract_x
_atom_site_fract_y
_atom_site_fract_z
As1 As 0.000 0.000 0.000
As2 As 0.156 0.000 0.667
Pb1 Pb 0.315 0.500 0.301
W1 W 0.452 0.000 0.705
```

Calculated values
As for the final energy: -50.505 eV per cell. The magnetization comes out at 0.00 μB per cell.

[6]
Density functional theory data (PBE) for a geometry-optimized CeNd3Sm4 structure.

Structure (CIF):
```
data_CeNd3Sm4
_chemical_formula_sum 'Ce2 Nd6 Sm8'
_cell_length_a 25.625
_cell_length_b 3.473
_cell_length_c 6.189
_cell_angle_alpha 90.00
_cell_angle_beta 95.33
_cell_angle_gamma 90.00
_space_group_name_H-M_alt 'C 1 2/m 1'
_space_group_IT_number 12
loop_
_space_group_symop_operation_xyz
'x,y,z'
'-x,-y,-z'
'-x,y,-z'
'x,-y,z'
'x+1/2,y+1/2,z'
'-x+1/2,-y+1/2,-z'
'-x+1/2,y+1/2,-z'
'x+1/2,-y+1/2,z'
loop_
_atom_site_label
_atom_site_type_symbol
_atom_site_fract_x
_atom_site_fract_y
_atom_site_fract_z
Ce1 Ce 0.000 0.000 0.000
Nd1 Nd 0.000 0.500 0.500
Nd2 Nd 0.145 0.500 0.741
Sm1 Sm 0.105 0.500 0.224
Sm2 Sm 0.221 0.000 0.237
```

Calculated values
As for the final energy: -74.532 eV per cell. The magnetization comes out at 1.60 μB per cell.

[7]
Density functional theory data (PBE) for a geometry-optimized ReGe3F structure.

Structure (CIF):
```
data_ReGe3F
_chemical_formula_sum 'Re1 Ge3 F1'
_cell_length_a 4.387
_cell_length_b 4.387
_cell_length_c 4.387
_cell_angle_alpha 90.00
_cell_angle_beta 90.00
_cell_angle_gamma 90.00
_space_group_name_H-M_alt 'P m -3 m'
_space_group_IT_number 221
_space_group_name_Hall '-P 4 2 3'
loop_
_atom_site_label
_atom_site_type_symbol
_atom_site_fract_x
_atom_site_fract_y
_atom_site_fract_z
Re1 Re 0.000 0.000 0.000
Ge1 Ge 0.000 0.500 0.500
F1 F 0.500 0.500 0.500
```

Calculated values
For the distance to the lowest polymorph of the same formula, the calculation gives 860.3 meV/atom. The magnetization comes out at 1.47 μB per cell. The value obtained for the energy relative to the elements, uncorrected is 55.1 kJ/mol of atoms.

[8]
Density functional theory data (PBE) for a geometry-optimized AgMoH2 structure.

Structure (CIF):
```
data_AgMoH2
_chemical_formula_sum 'Ag4 Mo4 H8'
_cell_length_a 5.166
_cell_length_b 5.166
_cell_length_c 6.014
_cell_angle_alpha 90.00
_cell_angle_beta 90.00
_cell_angle_gamma 90.00
_space_group_name_H-M_alt 'I -4 2 d'
_space_group_IT_number 122
_space_group_name_Hall 'I -4 2bw'
loop_
_atom_site_label
_atom_site_type_symbol
_atom_site_fract_x
_atom_site_fract_y
_atom_site_fract_z
Ag1 Ag 0.000 0.000 0.000
Mo1 Mo 0.000 0.000 0.500
H1 H 0.202 0.750 0.625
```

Calculated values
For the distance to the lowest polymorph of the same formula, the calculation gives 0.0 meV/atom. The magnetization comes out at 0.00 μB per cell.

[9]
Density functional theory data (PBE) for a geometry-optimized Al3V2Fe4 structure.

Structure (CIF):
```
data_Al3V2Fe4
_chemical_formula_sum 'Al3 V2 Fe4'
_cell_length_a 4.0477
_cell_length_b 4.0477
_cell_length_c 7.6009
_cell_angle_alpha 90.00
_cell_angle_beta 90.00
_cell_angle_gamma 120.00
_space_group_name_H-M_alt 'P -3 m 1'
_space_group_IT_number 164
_space_group_name_Hall '-P 3 2"'
loop_
_atom_site_label
_atom_site_type_symbol
_atom_site_fract_x
_atom_site_fract_y
_atom_site_fract_z
Al1 Al 0.0000 0.0000 0.0000
Al2 Al 0.3333 0.6667 0.4277
V1 V 0.3333 0.6667 0.7861
Fe1 Fe 0.0000 0.0000 0.3272
Fe2 Fe 0.3333 0.6667 0.1064
```

Calculated values
As for the final energy: -66.334 eV per cell. The magnetization comes out at 0.62 μB per cell.

[10]
Density functional theory data (PBE) for a geometry-optimized LiInS2 structure.

Structure (CIF):
```
data_LiInS2
_chemical_formula_sum 'Li3 In3 S6'
_cell_length_a 4.0294
_cell_length_b 4.0294
_cell_length_c 20.0101
_cell_angle_alpha 90.00
_cell_angle_beta 90.00
_cell_angle_gamma 120.00
_space_group_name_H-M_alt 'R 3 m'
_space_group_IT_number 160
_space_group_name_Hall 'R 3 -2"'
loop_
_atom_site_label
_atom_site_type_symbol
_atom_site_fract_x
_atom_site_fract_y
_atom_site_fract_z
Li1 Li 0.0000 0.0000 0.0000
In1 In 0.0000 0.0000 0.5203
S1 S 0.0000 0.0000 0.1309
S2 S 0.0000 0.0000 0.6387
```

Calculated values
The magnetization comes out at 0.00 μB per cell. The value obtained for the energy relative to the elements, uncorrected is -82.1 kJ/mol of atoms.

[11]
Density functional theory data (PBE) for a geometry-optimized TlSiGe2S4 structure.

Structure (CIF):
```
data_TlSiGe2S4
_chemical_formula_sum 'Tl4 Si4 Ge8 S16'
_cell_length_a 6.908
_cell_length_b 10.344
_cell_length_c 10.523
_cell_angle_alpha 90.00
_cell_angle_beta 90.00
_cell_angle_gamma 90.00
_space_group_name_H-M_alt 'F m m 2'
_space_group_IT_number 42
_space_group_name_Hall 'F 2 -2'
loop_
_atom_site_label
_atom_site_type_symbol
_atom_site_fract_x
_atom_site_fract_y
_atom_site_fract_z
Tl1 Tl 0.000 0.000 0.000
Si1 Si 0.000 0.000 0.616
Ge1 Ge 0.250 0.250 0.321
S1 S 0.000 0.177 0.505
S2 S 0.246 0.000 0.231
```

Calculated values
The magnetization comes out at 0.00 μB per cell. The value obtained for the energy relative to the elements, uncorrected is -21.1 kJ/mol of atoms.

[12]
Density functional theory data (PBE) for a geometry-optimized Th4Cd5Pd2 structure.

Structure (CIF):
```
data_Th4Cd5Pd2
_chemical_formula_sum 'Th4 Cd5 Pd2'
_cell_length_a 7.868
_cell_length_b 3.546
_cell_length_c 10.206
_cell_angle_alpha 90.00
_cell_angle_beta 93.83
_cell_angle_gamma 90.00
_space_group_name_H-M_alt 'P 1 2/m 1'
_space_group_IT_number 10
loop_
_space_group_symop_operation_xyz
'x,y,z'
'-x,-y,-z'
'-x,y,-z'
'x,-y,z'
loop_
_atom_site_label
_atom_site_type_symbol
_atom_site_fract_x
_atom_site_fract_y
_atom_site_fract_z
Th1 Th 0.158 0.000 0.369
Th2 Th 0.245 0.000 0.950
Cd1 Cd 0.201 0.500 0.660
Cd2 Cd 0.446 0.500 0.197
Cd3 Cd 0.500 0.500 0.500
Pd1 Pd 0.063 0.500 0.139
```

Calculated values
As for the final energy: -48.247 eV per cell. The magnetization comes out at 0.00 μB per cell.

Q: Look up the magnetization of the fifth one.
A: 0.00 μB per cell

Q: What is the magnetization in the first record?
A: 0.00 μB per cell

Q: Look up the magnetization of the fifth one.
A: 0.00 μB per cell